1.
Here is a relaxed Tb2HoEr2 crystal from Alexandria via LeMat-Bulk. Energies are from PBE-GGA.

a = 9.1979 Å, b = 9.1979 Å, c = 3.7041 Å
α = 90.00°, β = 90.00°, γ = 90.00°
Last column: nearest neighbours and their distance in Å.
Space group P4/mbm (No. 127)
Asymmetric unit:
Tb 0.1284 0.3716 0.0000 [4 per cell]  6 Er 3.21-3.33, 1 Tb 3.34
Ho 0.0000 0.0000 0.0000 [2 per cell]  4 Tb 3.62, 2 Ho 3.70, 8 Er 3.88
Er 0.1701 0.6701 0.5000 [4 per cell]  6 Tb 3.21-3.33

Output
The value obtained for the calculated density is 8.7 g/cm3. For the excess energy over the best structure of this formula in the dataset, the calculation gives 74 meV per atom. The calculated volume is 313.38 Å³ per cell. For the magnetic moment, the calculation gives 0.00 μB/f.u. The calculated formation energy is 0.093 eV per atom.

---

2.
Here is a relaxed Ga2Si2Bi crystal from Alexandria via LeMat-Bulk. Energies are from PBE-GGA.

a = 8.0433 Å, b = 8.0433 Å, c = 3.1186 Å
α = 90.00°, β = 90.00°, γ = 90.00°
Last column: nearest neighbours and their distance in Å.
Space group P4/mbm (No. 127)
Asymmetric unit:
Ga 0.1402 0.3598 0.0000 [4 per cell]  6 Si 2.82-2.84, 2 Ga 3.12
Si 0.1515 0.6515 0.5000 [4 per cell]  6 Ga 2.82-2.84, 2 Bi 3.06, 2 Si 3.12
Bi 0.0000 0.0000 0.5000 [2 per cell]  4 Si 3.06, 2 Bi 3.12

Output
The value obtained for the calculated density is 6.7 g/cm3. For the excess energy over the best structure of this formula in the dataset, the calculation gives 68 meV per atom. The calculated volume is 201.76 Å³ per cell. For the magnetic moment, the calculation gives 0.00 μB/f.u.

---

3.
Here is a relaxed La4Ga2P crystal from Alexandria via LeMat-Bulk. Energies are from PBE-GGA.

a = 12.4186 Å, b = 4.4918 Å, c = 8.8661 Å
α = 90.00°, β = 122.95°, γ = 90.00°
Last column: nearest neighbours and their distance in Å.
Space group C2/m (No. 12)
Asymmetric unit:
La 0.0859 0.0000 0.3747 [4 per cell]  1 P 2.88, 2 Ga 3.23
La 0.1762 0.5000 0.0832 [4 per cell]  2 P 2.94, 2 Ga 3.24
Ga 0.1178 0.5000 0.6575 [4 per cell]  1 Ga 2.73
P 0.0000 0.0000 0.0000 [2 per cell]  6 La 2.88-2.94

Output
The value obtained for the calculated density is 5.8 g/cm3. The calculated volume is 415.00 Å³ per cell. For the magnetic moment, the calculation gives 0.00 μB/f.u. The calculated formation energy is -0.748 eV per atom.

---

4.
Here is a relaxed Ac8Ge5Se crystal from Alexandria via LeMat-Bulk. Energies are from PBE-GGA.

a = 9.7335 Å, b = 9.7335 Å, c = 9.7293 Å
α = 90.00°, β = 90.00°, γ = 90.00°
Last column: nearest neighbours and their distance in Å.
Space group I-4 (No. 82)
Asymmetric unit:
Ac 0.0655 0.3131 0.0640 [8 per cell]  3 Ge 3.16-3.20
Ac 0.0694 0.1829 0.6904 [8 per cell]  4 Ge 3.17-3.54, 1 Se 3.21
Ge 0.0000 0.0000 0.0000 [2 per cell]  4 Ac 3.17
Ge 0.1270 0.2474 0.3758 [8 per cell]  5 Ac 3.16-3.53
Se 0.0000 0.5000 0.7500 [2 per cell]  4 Ac 3.21

Output
The value obtained for the calculated density is 8.1 g/cm3. The calculated volume is 921.78 Å³ per cell. For the calculated total energy, the calculation gives -5.08 eV/atom. For the magnetic moment, the calculation gives 0.00 μB/f.u.

---

5.
Here is a relaxed MnAgCl2 crystal from Alexandria via LeMat-Bulk. Energies are from PBE-GGA.

a = 4.6054 Å, b = 3.3625 Å, c = 5.3561 Å
α = 90.00°, β = 96.80°, γ = 90.00°
Last column: nearest neighbours and their distance in Å.
Space group P2/m (No. 10)
Asymmetric unit:
Mn 0.0000 0.0000 0.0000 [1 per cell]  6 Cl 2.68-2.85
Ag 0.5000 0.5000 0.5000 [1 per cell]  6 Cl 2.68-2.85
Cl 0.0000 0.0000 0.5000 [1 per cell]  2 Mn 2.68, 4 Ag 2.85
Cl 0.5000 0.5000 0.0000 [1 per cell]  2 Ag 2.68, 4 Mn 2.85

Output
The value obtained for the calculated density is 4.7 g/cm3. For the excess energy over the best structure of this formula in the dataset, the calculation gives 313 meV per atom. The calculated volume is 82.36 Å³ per cell. For the magnetic moment, the calculation gives 4.41 μB/f.u.

---

6.
Here is a relaxed PrSm2H6 crystal from Alexandria via LeMat-Bulk. Energies are from PBE-GGA.

a = 3.8342 Å, b = 3.8342 Å, c = 16.2768 Å
α = 90.00°, β = 90.00°, γ = 90.00°
Last column: nearest neighbours and their distance in Å.
Space group I4/mmm (No. 139)
Asymmetric unit:
Pr 0.0000 0.0000 0.0000 [2 per cell]  8 H 2.39
Sm 0.0000 0.0000 0.3318 [4 per cell]  8 H 2.33
H 0.0000 0.5000 0.0872 [8 per cell]  2 Sm 2.33, 2 Pr 2.39
H 0.0000 0.5000 0.2500 [4 per cell]  4 Sm 2.33

Output
The value obtained for the calculated density is 6.2 g/cm3. The calculated volume is 239.28 Å³ per cell. For the calculated total energy, the calculation gives -4.47 eV/atom. For the magnetic moment, the calculation gives 0.00 μB/f.u.

---

7.
Here is a relaxed Tl2Bi2Cl7 crystal from Alexandria via LeMat-Bulk. Energies are from PBE-GGA.

a = 11.9237 Å, b = 8.8930 Å, c = 6.9297 Å
α = 90.00°, β = 93.94°, γ = 90.00°
Last column: nearest neighbours and their distance in Å.
Space group C2/m (No. 12)
Asymmetric unit:
Tl 0.0000 0.2303 0.0000 [4 per cell]  4 Cl 3.06-3.34
Bi 0.2373 0.0000 0.5753 [4 per cell]  4 Cl 2.65-2.84
Cl 0.0000 0.0000 0.5000 [2 per cell]  2 Bi 2.84
Cl 0.0550 0.5000 0.2631 [4 per cell]  1 Bi 2.65
Cl 0.2209 0.2825 0.7365 [8 per cell]  2 Bi 2.76-2.97

Output
The value obtained for the calculated density is 4.9 g/cm3. The calculated volume is 733.07 Å³ per cell. For the calculated total energy, the calculation gives -3.20 eV/atom. For the magnetic moment, the calculation gives 0.00 μB/f.u.

---

8.
Here is a relaxed PmHo2Mg crystal from Alexandria via LeMat-Bulk. Energies are from PBE-GGA.

a = 3.5203 Å, b = 3.5203 Å, c = 33.9671 Å
α = 90.00°, β = 90.00°, γ = 120.00°
Last column: nearest neighbours and their distance in Å.
Space group R3m (No. 160, hexagonal axes)
Asymmetric unit:
Pm 0.0000 0.0000 0.0000 [3 per cell]  6 Pm 3.52, 6 Ho 3.54-3.56
Ho 0.0000 0.0000 0.4195 [3 per cell]  3 Mg 3.41, 6 Ho 3.52, 3 Pm 3.56
Ho 0.0000 0.0000 0.5813 [3 per cell]  3 Mg 3.42, 6 Ho 3.52, 3 Pm 3.54
Mg 0.0000 0.0000 0.1669 [3 per cell]  6 Ho 3.41-3.42, 6 Mg 3.52

Output
The value obtained for the calculated density is 6.8 g/cm3. For the excess energy over the best structure of this formula in the dataset, the calculation gives 78 meV per atom. The calculated volume is 364.54 Å³ per cell. For the magnetic moment, the calculation gives 0.00 μB/f.u. The calculated formation energy is 0.049 eV per atom.

---

Which of these has the lowest calculated volume?
MnAgCl2